A relaxed structure of SnHAu3. Source: Alexandria via LeMat-Bulk, functional PBE.

Unit cell a=5.2624 b=5.2624 c=5.2624 alpha=90.00 beta=90.00 gamma=90.00
Space group Pm-3m (No. 221)
Symmetry-distinct sites (fractional):
1 Sn 0.0000 0.0000 0.0000 (multiplicity 1)
2 H 0.5000 0.5000 0.5000 (multiplicity 1)
3 Au 0.0000 0.0000 0.5000 (multiplicity 3)

Computed properties:
E above lowest polymorph: 0.6227 eV/atom
Crystal system: cubic
Electronic total energy: -2.5849 eV per atom

A relaxed structure of Ba4Na2As. Source: Alexandria via LeMat-Bulk, functional PBE.

Unit cell a=19.5733 b=4.7948 c=8.0354 alpha=90.00 beta=104.44 gamma=90.00
Space group C2/m (No. 12)
Symmetry-distinct sites (fractional):
1 Ba 0.0650 0.0000 0.2745 (multiplicity 4)
2 Ba 0.1358 0.5000 0.8394 (multiplicity 4)
3 Na 0.2384 0.5000 0.3456 (multiplicity 4)
4 As 0.0000 0.5000 0.0000 (multiplicity 2)

Computed properties:
E above lowest polymorph: 0.0000 eV/atom
Crystal system: monoclinic
Electronic total energy: -2.4806 eV per atom

Among the records above, which one has the lowest electronic total energy? SnHAu3